No. 1
Pm4Pr2TmTh after structural relaxation, computed with PBE.

Unit cell a=6.0817 b=6.0835 c=7.3537 alpha=90.00 beta=90.00 gamma=90.00
Space group P2/m (No. 10)
Unique sites:
Pm1 0.0018 0.0000 0.2468 [2 per cell]
Pm2 0.4983 0.5000 0.2472 [2 per cell]
Pr1 0.0000 0.5000 0.0000 [1 per cell]
Pr2 0.5000 0.0000 0.5000 [1 per cell]
Tm1 0.0000 0.5000 0.5000 [1 per cell]
Th1 0.5000 0.0000 0.0000 [1 per cell]

Values from the calculation:
**D(E_F)**: 15.97 states/eV/cell
**Total magnetization**: 0.0 Bohr magnetons per cell
**DFT formation energy**: 0.80 eV per formula unit



No. 2
CsI2Br6 after structural relaxation, computed with PBE.

Unit cell a=6.9375 b=8.5146 c=8.9371 alpha=64.84 beta=67.18 gamma=89.92
Space group P-1 (No. 2)
Unique sites:
Cs1 0.0000 0.0000 0.0000 [1 per cell]
I1 0.2994 0.6903 0.4005 [2 per cell]
Br1 0.0826 0.5648 0.8346 [2 per cell]
Br2 0.2410 0.3375 0.5186 [2 per cell]
Br3 0.3734 0.0417 0.2507 [2 per cell]

Values from the calculation:
**Energy**: -1.967 eV per atom
**D(E_F)**: 0.73 states/eV/cell
**Total magnetization**: 0.0 Bohr magnetons per cell



No. 3
AlAsAu after structural relaxation, computed with PBE.

Unit cell a=6.1939 b=6.1939 c=6.1939 alpha=90.00 beta=90.00 gamma=90.00
Space group F-43m (No. 216)
Unique sites:
Al1 0.0000 0.0000 0.0000 [4 per cell]
As1 0.2500 0.2500 0.7500 [4 per cell]
Au1 0.2500 0.2500 0.2500 [4 per cell]

Values from the calculation:
**D(E_F)**: 5.16 states/eV/cell
**Total magnetization**: 0.0 Bohr magnetons per cell
**DFT formation energy**: -0.31 eV per formula unit
**Relative energy among the computed polymorphs**: 0.0000 eV per atom



No. 4
TcRuRhW after structural relaxation, computed with PBE.

Unit cell a=2.7406 b=4.3600 c=10.5518 alpha=90.00 beta=90.00 gamma=90.00
Space group Imm2 (No. 44)
Unique sites:
Tc1 0.0000 0.0000 0.0000 [2 per cell]
Ru1 0.0000 0.0000 0.5640 [2 per cell]
Rh1 0.0000 0.5000 0.2746 [2 per cell]
W1 0.0000 0.5000 0.8429 [2 per cell]

Values from the calculation:
**D(E_F)**: 7.00 states/eV/cell
**Total magnetization**: 0.0 Bohr magnetons per cell
**DFT formation energy**: 1.07 eV per formula unit